[1]
# SiP2Os

SiP2Os after structural relaxation (PBE-GGA, Alexandria via LeMat-Bulk).

Calculated values
- Symmetry: I-42d
- Electronic total energy: -6.903 eV per atom
- Energy relative to the elements, uncorrected: -0.0347 eV per atom
- DOS(E_F): 0.1595 states/eV/atom

Unit cell a=6.3184 b=6.3184 c=6.3184 alpha=129.75 beta=129.75 gamma=73.81
Closest atoms and distances in Å follow each position.
Positions (direct):
Si (0.0000, 0.0000, 0.0000)  4 P 2.28
Si (0.7500, 0.2500, 0.5000)  4 P 2.28
P (0.1256, 0.6250, 0.0006)  2 Os 2.28, 2 Si 2.28
P (0.3750, 0.3756, 0.5006)  2 Os 2.28, 2 Si 2.28
P (0.6244, 0.1250, 0.9994)  2 Os 2.28, 2 Si 2.28
P (0.8750, 0.8744, 0.4994)  2 Os 2.28, 2 Si 2.28
Os (0.2500, 0.7500, 0.5000)  4 P 2.28
Os (0.5000, 0.5000, 0.0000)  4 P 2.28

[2]
# SiP2Os

SiP2Os after structural relaxation (PBE-GGA, Alexandria via LeMat-Bulk).

Calculated values
- Symmetry: P2/m
- Electronic total energy: -6.657 eV per atom
- Energy relative to the elements, uncorrected: 0.2116 eV per atom
- DOS(E_F): 0.2082 states/eV/atom

Unit cell a=3.2552 b=4.4208 c=4.2150 alpha=90.00 beta=100.26 gamma=90.00
Closest atoms and distances in Å follow each position.
Positions (direct):
Si (0.0000, 0.0000, 0.0000)  2 Os 2.42
P (0.2797, 0.5000, 0.6903)  2 P 2.20-2.33
P (0.7203, 0.5000, 0.3097)  2 P 2.20-2.33
Os (0.5000, 0.0000, 0.5000)  2 Si 2.42, 4 P 2.50

[3]
# Si3POs

Si3POs after structural relaxation (PBE-GGA, Alexandria via LeMat-Bulk).

Calculated values
- Distance to the lowest polymorph of the same formula: 0.000 eV per atom
- Symmetry: Pm-3m
- Electronic total energy: -5.962 eV per atom
- Energy relative to the elements, uncorrected: 0.6195 eV per atom
- DOS(E_F): 0.7904 states/eV/atom

Unit cell a=4.6207 b=4.6207 c=4.6207 alpha=90.00 beta=90.00 gamma=90.00
Closest atoms and distances in Å follow each position.
Positions (direct):
Si (0.0000, 0.0000, 0.5000)  2 Os 2.31
Si (0.0000, 0.5000, 0.0000)  2 Os 2.31
Si (0.5000, 0.0000, 0.0000)  2 Os 2.31
P (0.5000, 0.5000, 0.5000)  12 Si 3.27
Os (0.0000, 0.0000, 0.0000)  6 Si 2.31